Entry 1:
Computed, not measured: a relaxed LiIn2Ir crystal at the PBE level of DFT.

a = 4.2825 Å, b = 4.2825 Å, c = 9.6063 Å
α = 77.12°, β = 77.12°, γ = 90.00°
Atoms (fractional coordinates):
Ir 0.7500 0.2500 0.5000
Ir 0.0000 0.0000 0.0000
In 0.3750 0.3672 0.7500
In 0.6328 0.1250 0.2500
In 0.8750 0.8828 0.7500
In 0.1172 0.6250 0.2500
Li 0.2500 0.7500 0.5000
Li 0.5000 0.5000 0.0000

Calculated values
Energy above the most stable polymorph in this dataset in eV/f.u.: 2.191
Formation enthalpy at 0 K in eV/atom: 0.24
Space group: I-42d, No. 122
Total magnetic moment in Bohr magnetons per cell: 0.0

Entry 2:
Computed, not measured: a relaxed LiInIr crystal at the PBE level of DFT.

a = 4.9797 Å, b = 5.5767 Å, c = 4.7946 Å
α = 105.22°, β = 121.29°, γ = 59.48°
Atoms (fractional coordinates):
In 0.9902 0.6154 0.4431
In 0.2400 0.1155 0.9426
Ir 0.6503 0.6156 0.7636
Ir 0.5800 0.1153 0.6221
Li 0.3211 0.6156 0.1056
Li 0.9087 0.1155 0.2799

Calculated values
Formation enthalpy at 0 K in eV/atom: -0.21
Space group: P-1, No. 2
Total magnetic moment in Bohr magnetons per cell: 0.0

One value per record, in order, for theoretical density: 8.52 10.64 Mg/m³.